Model one:
Here is crystalline CaYNb2 at its relaxed geometry from Alexandria via LeMat-Bulk. Energies are from PBE.

abc: 5.140 5.140 5.140
angles: 60.00 60.00 60.00
Fractional positions:
Nb 0.750 0.750 0.750
Nb 0.250 0.250 0.250
Ca 0.000 0.000 0.000
Y 0.500 0.500 0.500

=====

Model two:
Here is crystalline CaYNb2 at its relaxed geometry from Alexandria via LeMat-Bulk. Energies are from PBE.

abc: 8.184 8.184 6.498
angles: 50.97 50.97 90.00
Site moments in Bohr magnetons follow the coordinates.
Fractional positions:
Y 0.000 0.000 0.000  0.05
Y 0.750 0.250 0.500  0.05
Nb 0.375 0.376 0.750  0.35
Nb 0.624 0.125 0.250  0.35
Nb 0.875 0.874 0.750  0.35
Nb 0.126 0.625 0.250  0.34
Ca 0.250 0.750 0.500  0.03
Ca 0.500 0.500 0.000  0.03

=====

Relative to the most stable one, in meV per atom, the structures come out at model one 0; model two 230.

=====

Model one:
Here is crystalline Ca3YNb at its relaxed geometry from Alexandria via LeMat-Bulk. Energies are from PBE.

abc: 5.660 5.660 5.660
angles: 90.00 90.00 90.00
Site moments in Bohr magnetons follow the coordinates.
Fractional positions:
Ca 0.500 0.000 0.000  0.05
Ca 0.000 0.000 0.500  0.08
Ca 0.000 0.500 0.000  0.08
Y 0.500 0.500 0.500  -0.14
Nb 0.000 0.000 0.000  1.54

=====

Model two:
Here is crystalline Ca3YNb at its relaxed geometry from Alexandria via LeMat-Bulk. Energies are from PBE.

abc: 5.598 5.598 5.598
angles: 90.00 90.00 90.00
Site moments in Bohr magnetons follow the coordinates.
Fractional positions:
Ca 0.000 0.500 0.000  0.06
Ca 0.500 0.000 0.000  0.02
Ca 0.000 0.000 0.500  0.10
Y 0.000 0.000 0.000  0.36
Nb 0.500 0.500 0.500  0.03

=====

Relative to the most stable one, in meV per atom, the structures come out at model one 0; model two 805.

=====

Model one:
Here is crystalline CaY2Nb at its relaxed geometry from Alexandria via LeMat-Bulk. Energies are from PBE.

abc: 5.462 5.462 5.462
angles: 60.00 60.00 60.00
Site moments in Bohr magnetons follow the coordinates.
Fractional positions:
Ca 0.000 0.000 0.000  0.02
Y 0.250 0.250 0.250  0.25
Y 0.750 0.750 0.750  0.25
Nb 0.500 0.500 0.500  1.77

=====

Model two:
Here is crystalline CaY2Nb at its relaxed geometry from Alexandria via LeMat-Bulk. Energies are from PBE.

abc: 6.959 6.959 9.008
angles: 67.28 67.28 90.00
Fractional positions:
Ca 0.500 0.500 0.000
Ca 0.250 0.750 0.500
Y 0.875 0.125 0.250
Y 0.875 0.125 0.750
Y 0.875 0.625 0.250
Y 0.375 0.125 0.750
Nb 0.750 0.250 0.500
Nb 0.000 0.000 0.000

=====

Relative to the most stable one, in meV per atom, the structures come out at model one 0; model two 972.

=====

Model one:
Here is crystalline CaNb2Zn2 at its relaxed geometry from Alexandria via LeMat-Bulk. Energies are from PBE.

abc: 4.306 4.306 6.549
angles: 70.81 70.81 90.00
Site moments in Bohr magnetons follow the coordinates.
Fractional positions:
Nb 0.395 0.395 0.210  0.35
Nb 0.605 0.605 0.790  0.35
Zn 0.250 0.750 0.500  0.00
Zn 0.750 0.250 0.500  0.00
Ca 0.000 0.000 0.000  0.04

=====

Model two:
Here is crystalline CaNb2Zn2 at its relaxed geometry from Alexandria via LeMat-Bulk. Energies are from PBE.

abc: 8.166 8.166 2.934
angles: 90.00 90.00 90.00
Fractional positions:
Zn 0.182 0.682 0.500
Zn 0.682 0.818 0.500
Zn 0.318 0.182 0.500
Zn 0.818 0.318 0.500
Ca 0.000 0.000 0.000
Ca 0.500 0.500 0.000
Nb 0.111 0.389 0.000
Nb 0.889 0.611 0.000
Nb 0.611 0.111 0.000
Nb 0.389 0.889 0.000

=====

Relative to the most stable one, in meV per atom, the structures come out at model one 345; model two 0.